(1)
The following is a DFT calculation (PBE) of Nd3MgBi2 after structural relaxation.

Unit cell a=14.650 b=6.477 c=9.216 alpha=90.00 beta=108.33 gamma=90.00
Space group C2/c (No. 15)
Asymmetric unit:
Nd  0.000  0.003  0.250
Nd  0.181  0.500  0.090
Mg  0.000  0.496  0.750
Bi  0.162  0.000  0.081

The value obtained for the formation energy is -0.496 eV per atom. For the total energy, the calculation gives -4.4396 eV per atom. Its density of states at the Fermi level is 5.9 states/eV/f.u.


(2)
The following is a DFT calculation (PBE) of HgRhO2 after structural relaxation.

Unit cell a=7.665 b=6.256 c=5.426 alpha=90.00 beta=111.60 gamma=90.00
Space group C2/c (No. 15)
Asymmetric unit:
Hg  0.000  0.068  0.250
Rh  0.000  0.384  0.750
O  0.146  0.398  0.147

For the total energy, the calculation gives -4.5613 eV per atom. The uncorrected formation energy comes out at -0.169 eV per atom. Its density of states at the Fermi level is 2.0 states/eV/f.u.


(3)
The following is a DFT calculation (PBE) of MgCSN2 after structural relaxation.

Unit cell a=3.980 b=3.980 c=5.247 alpha=90.00 beta=90.00 gamma=90.00
Space group P4/mmm (No. 123)
Asymmetric unit:
Mg  0.000  0.000  0.000
C  0.500  0.500  0.500
S  0.000  0.000  0.500
N  0.000  0.500  0.000

The excess energy over the best structure of this formula in the dataset is 1164.4 meV per atom. For the total energy, the calculation gives -3.6866 eV per atom. The uncorrected formation energy comes out at 2.633 eV per atom. Its density of states at the Fermi level is 2.7 states/eV/f.u.


(4)
The following is a DFT calculation (PBE) of Na2CuS4 after structural relaxation.

Unit cell a=7.552 b=7.552 c=10.416 alpha=90.00 beta=90.00 gamma=90.00
Space group I-42d (No. 122)
Asymmetric unit:
Na  0.121  0.250  0.125
Cu  0.000  0.000  0.500
S  0.121  0.249  0.412

For the total energy, the calculation gives -3.7959 eV per atom. The uncorrected formation energy comes out at -0.475 eV per atom. Its density of states at the Fermi level is 5.5 states/eV/f.u.


(5)
The following is a DFT calculation (PBE) of CsTlBr2 after structural relaxation.

Unit cell a=5.4529 b=5.4529 c=29.6992 alpha=90.00 beta=90.00 gamma=120.00
Space group R-3m (No. 166, hexagonal axes)
Asymmetric unit:
Cs  0.0000  0.0000  0.0000
Tl  0.0000  0.0000  0.5000
Br  0.0000  0.0000  0.3984

For the total energy, the calculation gives -2.7747 eV per atom. The uncorrected formation energy comes out at -1.133 eV per atom. Its density of states at the Fermi level is 0.0 states/eV/f.u.


(6)
The following is a DFT calculation (PBE) of NiSb2Pt after structural relaxation.

Unit cell a=3.274 b=3.446 c=7.374 alpha=90.00 beta=90.00 gamma=90.00
Space group Pmm2 (No. 25)
Asymmetric unit:
Ni  0.000  0.000  0.000
Sb  0.000  0.000  0.389
Sb  0.500  0.500  0.824
Pt  0.500  0.500  0.198

The excess energy over the best structure of this formula in the dataset is 97.4 meV per atom. For the total energy, the calculation gives -5.1477 eV per atom. The uncorrected formation energy comes out at -0.131 eV per atom. Its density of states at the Fermi level is 3.2 states/eV/f.u.